Entry 1:
# MnAlCuSe2

An optimized crystal structure of MnAlCuSe2 (PBE, Alexandria).

abc: 4.7404 4.6350 4.7404
angles: 90.00 90.00 90.00
Last column: magnetic moment on the atom in μB.
Sites, in units of the cell vectors:
Mn: 0.0000 0.0000 0.0000  2.37
Cu: 0.5000 0.5000 0.5000  0.01
Se: 0.0000 0.0000 0.5000  0.07
Se: 0.5000 0.0000 0.0000  0.07
Al: 0.0000 0.5000 0.0000  -0.04

Calculated values
E_form (uncorrected) = 0.468 eV/atom


Entry 2:
# MnAlCu2Se4

An optimized crystal structure of MnAlCu2Se4 (PBE, Alexandria).

abc: 5.6540 5.6540 6.8813
angles: 114.27 114.27 90.00
Last column: magnetic moment on the atom in μB.
Sites, in units of the cell vectors:
Mn: 0.0001 0.0001 0.0000  3.96
Al: 0.5001 0.5001 0.0001  0.02
Cu: 0.7501 0.2501 0.5001  -0.11
Cu: 0.2501 0.7501 0.5001  -0.11
Se: 0.6181 0.6181 0.7451  -0.04
Se: 0.3819 0.8731 0.2551  -0.04
Se: 0.8731 0.3819 0.2551  -0.04
Se: 0.1269 0.1269 0.7451  -0.04

Calculated values
E_form (uncorrected) = -0.475 eV/atom


Entry 3:
# MnAlCuTc

An optimized crystal structure of MnAlCuTc (PBE, Alexandria).

abc: 4.1625 4.1625 4.1625
angles: 60.00 60.00 60.00
Sites, in units of the cell vectors:
Mn: 0.5000 0.5000 0.5000
Tc: 0.2500 0.2500 0.2500
Cu: 0.7500 0.7500 0.7500
Al: 0.0000 0.0000 0.0000

Calculated values
Calculated total energy = -6.919 eV per atom


Entry 4:
# MnAl2CuTe4

An optimized crystal structure of MnAl2CuTe4 (PBE, Alexandria).

abc: 6.1813 6.1813 7.5505
angles: 114.17 114.17 90.00
Last column: magnetic moment on the atom in μB.
Sites, in units of the cell vectors:
Mn: 0.0000 0.0000 0.0000  3.80
Al: 0.7500 0.2500 0.5001  -0.02
Al: 0.2500 0.7500 0.5001  -0.02
Cu: 0.5000 0.5000 0.0001  0.02
Te: 0.6244 0.6244 0.7595  -0.01
Te: 0.3756 0.8650 0.2407  -0.01
Te: 0.8650 0.3756 0.2407  -0.01
Te: 0.1350 0.1350 0.7595  -0.01

Calculated values
E_form (uncorrected) = -0.213 eV/atom


Entry 5:
# Ti3MnAl3Cu2

An optimized crystal structure of Ti3MnAl3Cu2 (PBE, Alexandria).

abc: 2.9936 7.1680 7.1680
angles: 120.00 90.00 90.00
Sites, in units of the cell vectors:
Ti: 0.5000 0.7337 0.0000
Ti: 0.5000 0.0000 0.7337
Ti: 0.5000 0.2663 0.2663
Mn: 0.0000 0.0000 0.0000
Al: 0.0000 0.6155 0.6155
Al: 0.0000 0.0000 0.3845
Al: 0.0000 0.3845 0.0000
Cu: 0.5000 0.6667 0.3333
Cu: 0.5000 0.3333 0.6667

Calculated values
Calculated total energy = -6.103 eV per atom


Entry 6:
# Ti2MnAl5Cu2

An optimized crystal structure of Ti2MnAl5Cu2 (PBE, Alexandria).

abc: 3.1007 9.7220 9.7220
angles: 90.00 90.00 90.00
Sites, in units of the cell vectors:
Ti: 0.0000 0.6741 0.1741
Ti: 0.0000 0.3259 0.8259
Ti: 0.0000 0.1741 0.3259
Ti: 0.0000 0.8259 0.6741
Mn: 0.0000 0.0000 0.0000
Mn: 0.0000 0.5000 0.5000
Al: 0.5000 0.1926 0.0485
Al: 0.5000 0.8074 0.9515
Al: 0.5000 0.0485 0.8074
Al: 0.5000 0.6926 0.4515
Al: 0.5000 0.9515 0.1926
Al: 0.5000 0.3074 0.5485
Al: 0.5000 0.5485 0.6926
Al: 0.5000 0.4515 0.3074
Al: 0.5000 0.5000 0.0000
Al: 0.5000 0.0000 0.5000
Cu: 0.0000 0.1340 0.6340
Cu: 0.0000 0.8660 0.3660
Cu: 0.0000 0.6340 0.8660
Cu: 0.0000 0.3660 0.1340

Calculated values
Calculated total energy = -5.392 eV per atom


Entry 7:
# Ti2Mn2Al5Cu

An optimized crystal structure of Ti2Mn2Al5Cu (PBE, Alexandria).

abc: 3.0591 9.9005 9.9005
angles: 90.00 90.00 90.00
Sites, in units of the cell vectors:
Ti: 0.0000 0.7080 0.2080
Ti: 0.0000 0.2920 0.7920
Ti: 0.0000 0.2080 0.2920
Ti: 0.0000 0.7920 0.7080
Mn: 0.0000 0.1329 0.6329
Mn: 0.0000 0.8671 0.3671
Mn: 0.0000 0.6329 0.8671
Mn: 0.0000 0.3671 0.1329
Al: 0.5000 0.2035 0.0339
Al: 0.5000 0.7965 0.9661
Al: 0.5000 0.0339 0.7965
Al: 0.5000 0.7035 0.4661
Al: 0.5000 0.9661 0.2035
Al: 0.5000 0.2965 0.5339
Al: 0.5000 0.5339 0.7035
Al: 0.5000 0.4661 0.2965
Al: 0.5000 0.5000 0.0000
Al: 0.5000 0.0000 0.5000
Cu: 0.0000 0.0000 0.0000
Cu: 0.0000 0.5000 0.5000

Calculated values
Calculated total energy = -5.796 eV per atom


Entry 8:
# MnAl2TlCu

An optimized crystal structure of MnAl2TlCu (PBE, Alexandria).

abc: 4.7325 4.7713 4.7325
angles: 90.00 90.00 90.00
Last column: magnetic moment on the atom in μB.
Sites, in units of the cell vectors:
Tl: 0.5000 0.5000 0.5000  -0.03
Mn: 0.0000 0.0000 0.0000  2.41
Al: 0.0000 0.0000 0.5000  -0.01
Al: 0.5000 0.0000 0.0000  -0.05
Cu: 0.0000 0.5000 0.0000  0.18

Calculated values
Calculated total energy = -4.094 eV per atom


Entry 9:
# U2Mn3Al6Cu

An optimized crystal structure of U2Mn3Al6Cu (PBE, Alexandria).

abc: 6.0584 6.8498 5.8691
angles: 125.70 91.16 90.00
Sites, in units of the cell vectors:
U: 0.3088 0.6410 0.2820
U: 0.6912 0.3590 0.7180
Mn: 0.0000 0.5000 0.0000
Mn: 0.5000 0.5000 0.5000
Mn: 0.5000 0.0000 0.5000
Al: 0.8299 0.2932 0.1853
Al: 0.1701 0.7068 0.8147
Al: 0.8119 0.7765 0.5530
Al: 0.1881 0.2235 0.4470
Al: 0.1701 0.1079 0.8147
Al: 0.8299 0.8921 0.1853
Cu: 0.5000 0.0000 0.0000

Calculated values
Calculated total energy = -6.454 eV per atom


Entry 10:
# MnAlCu2W

An optimized crystal structure of MnAlCu2W (PBE, Alexandria).

abc: 4.2180 4.3941 4.2180
angles: 90.00 90.00 90.00
Last column: magnetic moment on the atom in μB.
Sites, in units of the cell vectors:
Mn: 0.0000 0.5000 0.0000  2.94
Cu: 0.0000 0.0000 0.5000  0.03
Cu: 0.5000 0.0000 0.0000  0.03
W: 0.5000 0.5000 0.5000  -0.20
Al: 0.0000 0.0000 0.0000  -0.04

Calculated values
Calculated total energy = -5.546 eV per atom


Entry 11:
# Y2MnAl3Cu12

An optimized crystal structure of Y2MnAl3Cu12 (PBE, Alexandria).

abc: 11.4546 11.4546 11.4546
angles: 27.68 27.68 27.68
Last column: magnetic moment on the atom in μB.
Sites, in units of the cell vectors:
Y: 0.6431 0.6431 0.6431  0.08
Y: 0.3569 0.3569 0.3569  0.08
Mn: 0.0000 0.0000 0.0000  -3.30
Al: 0.5000 0.0000 0.0000  0.00
Al: 0.0000 0.5000 0.0000  0.00
Al: 0.0000 0.0000 0.5000  0.00
Cu: 0.4053 0.4053 0.8552  -0.01
Cu: 0.8904 0.8904 0.3908  -0.05
Cu: 0.3908 0.8904 0.8904  -0.05
Cu: 0.8552 0.4053 0.4053  -0.01
Cu: 0.8904 0.3908 0.8904  -0.05
Cu: 0.4053 0.8552 0.4053  -0.01
Cu: 0.5947 0.5947 0.1448  -0.01
Cu: 0.1096 0.1096 0.6092  -0.05
Cu: 0.6092 0.1096 0.1096  -0.05
Cu: 0.1448 0.5947 0.5947  -0.01
Cu: 0.1096 0.6092 0.1096  -0.05
Cu: 0.5947 0.1448 0.5947  -0.01

Calculated values
Calculated total energy = -4.479 eV per atom


Entry 12:
# Al2CuMo

An optimized crystal structure of Al2CuMo (PBE, Alexandria).

abc: 2.7382 2.7382 8.0148
angles: 90.00 90.00 104.37
Sites, in units of the cell vectors:
Mo: 0.5000 0.5000 0.7500
Al: 0.0000 0.0000 0.0106
Al: 0.0000 0.0000 0.4894
Cu: 0.5000 0.5000 0.2500

Calculated values
Energy above the lowest structure with this stoichiometry = 13.18 kJ/mol of atoms